No. 1
6
Lattice="6.036 0.000 0.000 3.018 5.593 -0.756 3.018 -1.087 6.243" Properties=species:S:1:pos:R:3 comment="GGA-PBE Pr4HoEr, optimized geometry" relative_energy_mev_per_atom=83 space_group="C2/m (12)" formation_energy_mev_per_atom=107.6 dft_energy_ev_per_atom=-4.602 pbc="T T T"
Pr 6.036 3.810 -0.439
Pr 6.036 0.696 5.925
Pr 9.054 4.058 2.392
Pr 3.018 0.449 3.094
Ho 6.036 2.253 2.743
Er 0.000 0.000 0.000

***

No. 2
30
Lattice="7.588 0.183 0.000 -5.849 4.837 0.000 0.000 0.000 8.684" Properties=species:S:1:pos:R:3 comment="GGA-PBE Na10B17C3, optimized geometry" relative_energy_mev_per_atom=17 space_group="Pm (6)" formation_energy_mev_per_atom=221.7 dft_energy_ev_per_atom=-4.924 pbc="T T T"
Na 2.220 2.055 0.062
Na 4.904 1.124 8.621
Na 1.734 5.018 4.304
Na 4.904 1.124 4.406
Na -0.472 2.968 4.378
Na 2.220 2.055 4.280
Na 1.734 5.018 0.038
Na -3.169 3.892 0.004
Na -0.472 2.968 8.649
Na -3.169 3.892 4.338
B 0.508 1.669 2.171
B 0.700 1.723 6.513
B 0.091 4.857 2.171
B 3.407 0.893 2.171
B 1.062 3.310 2.171
B 2.840 3.675 2.171
B 1.680 0.286 2.171
B -0.988 1.229 6.513
B -2.071 2.616 6.513
B 0.084 4.681 6.513
B 1.564 0.183 6.513
B -1.613 4.256 6.513
B 3.198 0.854 6.513
B 3.782 2.482 6.513
B -2.129 2.535 2.171
B -1.550 4.184 2.171
B 1.254 3.361 6.513
C 3.873 2.385 2.171
C 2.798 3.731 6.513
C -1.093 1.295 2.171